A plane-wave DFT calculation with PBE+U was carried out for crystalline NiWIO2 at its relaxed geometry.

Output
The total energy comes out at -3.627 eV/atom. Its space-group type is P4/mmm.

a = 4.0572 Å, b = 4.0572 Å, c = 5.1303 Å
α = 90.00°, β = 90.00°, γ = 90.00°
Element x y z (fractional)
Ni (0.0000, 0.0000, 0.0000)
W (0.5000, 0.5000, 0.5000)
I (0.0000, 0.0000, 0.5000)
O (0.0000, 0.5000, 0.0000)
O (0.5000, 0.0000, 0.0000)